# 1
16
Lattice="10.0115 0.0000 0.0000 0.0000 10.0115 0.0000 0.0000 0.0000 3.9405" Properties=species:S:1:pos:R:3 comment="NiSb GGA-PBE relaxed" dos_at_fermi_per_ev_cell=6.69 pbc="T T T"
Sb 7.1449 0.6456 1.9702
Sb 2.1392 5.6513 0.0000
Ni 7.1118 8.2375 1.9702
Ni 2.8997 1.7740 1.9702
Ni 1.7740 7.1118 1.9702
Ni 6.7798 2.1060 0.0000
Sb 2.8665 9.3659 1.9702
Sb 5.6513 7.8723 0.0000
Ni 2.1060 3.2317 0.0000
Sb 7.8723 4.3601 0.0000
Ni 3.2317 7.9055 0.0000
Sb 4.3601 2.1392 0.0000
Sb 0.6456 2.8665 1.9702
Ni 7.9055 6.7798 0.0000
Sb 9.3659 7.1449 1.9702
Ni 8.2375 2.8997 1.9702


# 2
12
Lattice="-5.9352 -9.6560 4.3138 1.6131 -2.0534 -2.3770 3.9483 -0.8874 3.4461" Properties=species:S:1:pos:R:3 comment="NiSb GGA-PBE relaxed" dos_at_fermi_per_ev_cell=7.10 pbc="T T T"
Ni -2.2641 -7.5985 2.4049
Sb -0.4877 -8.2701 4.1907
Sb 3.7987 -1.6992 1.4230
Sb -1.9497 -5.0568 3.0454
Ni 1.4220 -6.6600 4.0957
Ni 1.6089 -0.3616 1.4042
Sb -0.3008 -1.9717 1.4992
Ni 1.8711 -2.1874 3.1595
Ni -0.3556 -4.4936 1.0178
Sb -4.0334 -8.0442 4.2121
Sb 1.7150 -4.6865 2.5897
Ni -2.1556 -8.7386 6.0863


# 3
6
Lattice="4.4411 -2.5378 1.8525 -4.7451 -1.3425 2.2973 -0.4356 -1.3981 -5.2394" Properties=species:S:1:pos:R:3 comment="NiSb2 GGA-PBE relaxed" dos_at_fermi_per_ev_cell=4.37 pbc="T T T"
Sb -2.7875 -2.4903 -2.5327
Sb 2.0479 -2.7882 1.4431
Sb -1.2014 -3.5110 0.5293
Sb 0.4618 -1.7675 -1.6188
Ni -0.0760 -0.9701 1.0375
Ni -0.2280 -2.9102 3.1124


# 4
4
Lattice="-1.3544 0.8539 -4.0744 4.0902 -1.3945 0.6999 -1.5797 -4.8834 -0.4983" Properties=species:S:1:pos:R:3 comment="NiSb GGA-PBE relaxed" dos_at_fermi_per_ev_cell=2.96 pbc="T T T"
Sb 1.0905 -4.3076 -1.2653
Ni -0.7243 -3.5581 -2.8567
Ni 1.8804 -1.8659 -1.0161
Sb 0.0655 -1.1164 -2.6075


# 5
4
Lattice="4.9823 0.0015 0.0000 -1.0810 4.8637 0.0000 0.0000 0.0000 3.8004" Properties=species:S:1:pos:R:3 comment="NiSb3 GGA-PBE relaxed" dos_at_fermi_per_ev_cell=2.14 de_polymorph_ev_per_atom=0.547 pbc="T T T"
Sb 1.9507 2.4326 0.0000
Sb -0.5405 2.4318 1.9002
Ni 0.0000 0.0000 0.0000
Sb 2.4912 0.0008 1.9002


# 6
4
Lattice="7.0407 -0.0035 -0.0021 6.0659 3.5744 -0.0021 6.0659 1.6527 3.1694" Properties=species:S:1:pos:R:3 comment="NiSb GGA-PBE relaxed" dos_at_fermi_per_ev_cell=3.75 pbc="T T T"
Ni 16.6182 4.5276 2.7435
Sb 5.0896 1.3867 0.8402
Ni 2.5544 0.6959 0.4217
Sb 14.0829 3.8369 2.3249


# 7
6
Lattice="3.8955 0.0000 0.0000 0.0000 5.2211 0.0000 0.0000 0.0000 6.3640" Properties=species:S:1:pos:R:3 comment="NiSb2 GGA-PBE relaxed" dos_at_fermi_per_ev_cell=2.54 pbc="T T T"
Sb 1.9477 3.7620 0.9003
Ni 0.0000 0.0000 0.0000
Ni 1.9477 2.6106 3.1820
Sb 0.0000 1.1514 2.2817
Sb 0.0000 4.0697 4.0824
Sb 1.9477 1.4591 5.4637


# 8
6
Lattice="1.8943 6.1075 0.4073 -1.8943 6.1075 0.4073 0.0000 3.3424 5.9183" Properties=species:S:1:pos:R:3 comment="NiSb2 GGA-PBE relaxed" dos_at_fermi_per_ev_cell=3.14 pbc="T T T"
Sb 0.0000 5.5523 2.7995
Ni 0.0000 12.3221 1.5133
Sb 0.0000 11.0673 5.8362
Ni 0.0000 9.9208 3.3791
Sb 0.0000 2.2218 2.3494
Sb 0.0000 8.1812 5.4436


# 9
16
Lattice="7.4937 0.0000 0.0000 0.0000 7.4937 0.0000 0.0000 0.0000 7.4937" Properties=species:S:1:pos:R:3 comment="NiSb GGA-PBE relaxed" dos_at_fermi_per_ev_cell=10.01 pbc="T T T"
Ni 6.5812 0.9124 6.5812
Ni 4.6592 2.8344 2.8344
Sb 2.2837 2.2837 2.2837
Sb 6.0305 6.0305 6.0305
Sb 1.4631 1.4631 6.0305
Ni 0.9124 6.5812 6.5812
Sb 5.2100 5.2100 2.2837
Sb 6.0305 1.4631 1.4631
Sb 5.2100 2.2837 5.2100
Ni 0.9124 0.9124 0.9124
Ni 4.6592 4.6592 4.6592
Sb 1.4631 6.0305 1.4631
Ni 2.8344 2.8344 4.6592
Ni 2.8344 4.6592 2.8344
Sb 2.2837 5.2100 5.2100
Ni 6.5812 6.5812 0.9124


# 10
2
Lattice="-1.3868 -2.7112 -1.1751 0.6222 -1.5369 2.8116 -2.8886 0.9705 1.1697" Properties=species:S:1:pos:R:3 comment="NiSb GGA-PBE relaxed" dos_at_fermi_per_ev_cell=1.45 pbc="T T T"
Sb -1.8266 -1.6388 1.4031
Ni 0.0000 0.0000 0.0000


# 11
10
Lattice="6.7071 0.0000 0.0000 3.3536 5.8071 0.1611 3.3536 1.7883 5.2278" Properties=species:S:1:pos:R:3 comment="Ni2Sb3 GGA-PBE relaxed" dos_at_fermi_per_ev_cell=5.36 de_polymorph_ev_per_atom=0.000 pbc="T T T"
Ni 11.7375 6.6303 5.3085
Sb 3.9321 4.8024 1.4278
Sb 7.2547 2.8506 1.3711
Ni 8.3839 4.7628 2.7749
Sb 9.5131 6.6483 4.0656
Sb 3.9011 0.9471 1.3234
Ni 5.0303 2.8326 2.6140
Ni 1.6768 0.9651 0.0805
Sb 9.4821 2.7930 3.9611
Sb 6.1596 4.7448 4.0178


# 12
9
Lattice="-4.1366 4.1366 2.5651 4.1366 -4.1366 2.5651 4.1366 4.1366 -2.5651" Properties=species:S:1:pos:R:3 comment="Ni4Sb5 GGA-PBE relaxed" dos_at_fermi_per_ev_cell=7.33 pbc="T T T"
Sb 1.5518 1.5518 2.5651
Ni 0.0000 2.8917 0.0000
Sb 1.5518 -1.5518 2.5651
Sb 0.0000 0.0000 0.0000
Ni 2.8917 0.0000 0.0000
Sb -1.5518 1.5518 2.5651
Sb 2.5848 2.5848 0.0000
Ni 5.3815 0.0000 0.0000
Ni 0.0000 5.3815 0.0000


# 13
10
Lattice="3.6625 0.0000 -1.1234 -0.5317 4.9806 -1.7333 0.2638 0.2915 7.3917" Properties=species:S:1:pos:R:3 comment="Ni7Sb3 GGA-PBE relaxed" dos_at_fermi_per_ev_cell=6.92 pbc="T T T"
Ni 1.8059 4.1616 -0.6444
Ni 1.5887 1.1104 5.1793
Ni 2.6906 4.3500 2.2397
Ni 0.7041 0.9220 2.2953
Ni 1.3428 3.5646 4.3775
Sb 2.9419 1.8340 3.0590
Sb 0.4527 3.4381 1.4759
Sb 0.0000 0.0000 0.0000
Ni -0.2658 2.4903 -0.8666
Ni 2.0518 1.7075 0.1574


# 14
4
Lattice="3.2338 0.0000 0.0000 0.0000 3.2338 0.0000 0.0000 0.0000 7.2617" Properties=species:S:1:pos:R:3 comment="NiSb GGA-PBE relaxed" dos_at_fermi_per_ev_cell=3.51 pbc="T T T"
Ni 2.4254 2.4254 6.6064
Sb 0.8085 0.8085 5.2459
Ni 0.8085 0.8085 0.6553
Sb 2.4254 2.4254 2.0158


# 15
4
Lattice="-2.7214 0.7754 -1.8677 -1.8895 -5.3103 0.5485 -3.3765 -1.6002 4.2554" Properties=species:S:1:pos:R:3 comment="NiSb3 GGA-PBE relaxed" dos_at_fermi_per_ev_cell=2.20 de_polymorph_ev_per_atom=0.152 pbc="T T T"
Sb -2.6330 -3.4552 2.4019
Sb -2.3796 -0.9494 -0.0044
Sb -5.6078 -5.1857 2.9406
Ni 0.0000 0.0000 0.0000


# 16
7
Lattice="5.3823 0.0000 0.0000 -1.7941 5.0745 0.0000 -1.7941 -2.5373 4.3947" Properties=species:S:1:pos:R:3 comment="Ni6Sb GGA-PBE relaxed" dos_at_fermi_per_ev_cell=6.89 pbc="T T T"
Ni -0.8971 2.5373 2.1973
Ni 2.6912 0.0000 2.1973
Ni 0.8971 -0.6343 3.2960
Ni -0.8971 0.6343 3.2960
Sb 0.0000 0.0000 0.0000
Ni 2.6912 1.9029 1.0987
Ni 0.8971 3.1716 1.0987


# 17
14
Lattice="-2.5953 4.4704 -1.6132 -2.8114 0.3307 5.4393 2.9247 3.4162 4.7616" Properties=species:S:1:pos:R:3 comment="Ni5Sb2 GGA-PBE relaxed" dos_at_fermi_per_ev_cell=14.13 de_polymorph_ev_per_atom=0.030 pbc="T T T"
Ni -0.4274 6.9343 6.2714
Ni -2.0546 1.2830 2.3163
Ni -1.1212 3.2042 6.1391
Ni -3.7326 5.5258 3.1410
Ni -1.6333 5.1130 7.7080
Ni -2.4190 5.4395 5.3325
Sb 0.1384 5.0323 4.6342
Sb -2.6204 3.1850 3.9535
Sb 0.3407 0.7542 1.5418
Ni -0.0630 2.7778 3.2552
Ni -0.8487 3.1044 0.8797
Sb -2.8227 7.4632 7.0459
Ni 1.2506 2.6915 5.4467
Ni -1.3607 5.0132 2.4486


# 18
12
Lattice="4.8174 0.0000 0.0000 2.4087 4.1720 0.0000 2.4087 1.3907 8.1904" Properties=species:S:1:pos:R:3 comment="ScNi9Sb2 GGA-PBE relaxed" dos_at_fermi_per_ev_cell=13.22 de_polymorph_ev_per_atom=0.095 pbc="T T T"
Ni 3.6097 2.0840 1.9981
Ni 6.0252 2.0840 1.9981
Ni 2.4087 1.3907 0.0015
Ni 3.6097 3.4787 6.1923
Sb 7.2262 4.1720 3.1612
Sc 0.0000 0.0000 0.0000
Ni 6.0252 3.4787 6.1923
Ni 4.8174 4.1760 1.9981
Ni 4.8174 2.7814 4.0952
Ni 4.8174 1.3867 6.1923
Sb 2.4087 1.3907 5.0291
Ni 7.2262 4.1720 8.1888


# 19
4
Lattice="3.8214 0.0000 0.0000 0.0000 3.8214 0.0000 0.0000 0.0000 5.7521" Properties=species:S:1:pos:R:3 comment="ScNiSb2 GGA-PBE relaxed" dos_at_fermi_per_ev_cell=2.87 pbc="T T T"
Ni 1.9107 1.9107 4.6504
Sc 0.0000 0.0000 2.6220
Sb 0.0000 0.0000 5.4152
Sb 1.9107 1.9107 1.6928


# 20
4
Lattice="3.4402 0.0000 0.0000 0.0000 3.4402 0.0000 0.0000 0.0000 5.5724" Properties=species:S:1:pos:R:3 comment="ScNi2Sb GGA-PBE relaxed" dos_at_fermi_per_ev_cell=1.54 pbc="T T T"
Sc 1.7201 1.7201 4.4215
Sb 0.0000 0.0000 2.5153
Ni 0.0000 0.0000 5.5459
Ni 1.7201 1.7201 1.4483


# 21
4
Lattice="5.7138 -0.0762 -0.0485 4.1401 3.9386 -0.0485 4.1401 1.6228 3.5891" Properties=species:S:1:pos:R:3 comment="Sc2NiSb GGA-PBE relaxed" dos_at_fermi_per_ev_cell=4.15 pbc="T T T"
Sc 0.0052 0.0020 0.0013
Sb 10.8598 4.2566 2.7099
Ni 7.1423 2.7995 1.7823
Sc 2.9840 1.1696 0.7446


# 22
10
Lattice="-5.1936 -4.2457 -2.1151 4.4391 -5.4557 0.0514 -0.8587 -0.6663 3.4462" Properties=species:S:1:pos:R:3 comment="ScNi2Sb2 GGA-PBE relaxed" dos_at_fermi_per_ev_cell=5.98 pbc="T T T"
Ni -1.8106 -7.1197 -1.8277
Sb -3.2696 -5.5857 -0.0002
Sb -0.2959 -7.6971 0.3326
Sb 1.6563 -4.7820 1.3827
Ni 1.9334 -6.4068 -0.7569
Sb -1.3174 -2.6707 1.0499
Ni -2.6879 -3.2946 -1.3068
Sc -0.3773 -4.8507 -1.0319
Ni 1.0561 -2.5817 -0.2360
Sc 0.0000 0.0000 0.0000


# 23
4
Lattice="5.7344 0.0065 0.0000 2.9173 4.9368 0.0000 -4.3259 -2.4716 2.8392" Properties=species:S:1:pos:R:3 comment="ScNiSb2 GGA-PBE relaxed" dos_at_fermi_per_ev_cell=1.99 pbc="T T T"
Sc 4.3259 2.4716 0.0000
Sb 0.0000 0.0000 0.0000
Ni 2.8672 0.0032 1.4196
Sb 1.4587 2.4684 1.4196


# 24
4
Lattice="-4.2903 4.5788 1.4873 -6.3184 1.2617 0.2646 -4.8083 1.4486 4.0455" Properties=species:S:1:pos:R:3 comment="ScNiSb2 GGA-PBE relaxed" dos_at_fermi_per_ev_cell=2.92 pbc="T T T"
Sb -0.2236 0.1057 0.0841
Sc -3.8543 1.8223 1.4494
Sb -7.4849 3.5388 2.8146
Ni -11.5628 5.4669 4.3481


# 25
4
Lattice="-5.3908 1.4717 0.0921 -3.7936 -3.7611 1.6425 4.8794 2.0285 1.8198" Properties=species:S:1:pos:R:3 comment="Sc2NiSb GGA-PBE relaxed" dos_at_fermi_per_ev_cell=4.13 pbc="T T T"
Ni -4.5922 -1.1447 0.8673
Sc 0.0000 0.0000 0.0000
Sb -2.5518 1.1778 1.3896
Sc -1.7532 -1.4387 2.1648


no.,E_form (uncorrected) (eV/f.u.),DFT total energy (eV per atom)
1,0.1,-4.895
2,-0.1,-5.014
3,0.1,-4.639
4,0.1,-4.906
5,1.6,-4.137
6,0.0,-4.949
7,-0.6,-4.877
8,0.0,-4.686
9,0.1,-4.916
10,0.3,-4.826
11,-1.0,-4.983
12,3.2,-4.505
13,-0.9,-5.374
14,-0.1,-4.999
15,0.0,-4.532
16,6.2,-4.654
17,-1.0,-5.447
18,-1.8,-5.700
19,-1.3,-5.413
20,-1.0,-5.766
21,-1.3,-5.978
22,-1.7,-5.558
23,-1.2,-5.392
24,-1.3,-5.402
25,-2.0,-6.137